1.
Entry from Alexandria: a geometry-optimized Tb5PmNdEr2 structure (PBE).

abc: 5.6262 10.3586 10.6023
angles: 90.00 90.00 105.76
Last column: nearest neighbours and their distance in Å.
Element x y z (fractional)
Tb1 0.7015 0.4030 0.2083  3 Tb 3.41-3.59, 3 Pm 3.50-3.76, 3 Er 3.52-3.76, 1 Nd 3.61
Er1 0.1143 0.2287 0.3209  9 Tb 3.33-3.68, 1 Pm 3.70
Tb2 0.7186 0.4373 0.8104  1 Nd 3.07, 1 Er 3.33, 2 Tb 3.41
Nd1 0.4162 0.8325 0.4499  5 Tb 3.07-3.28
Nd2 0.5838 0.1675 0.9499  5 Tb 3.07-3.28
Er2 0.1106 0.2212 0.7351  7 Tb 3.38-3.76, 1 Pm 3.44, 2 Nd 3.66
Tb3 0.6090 0.2181 0.5245  6 Tb 3.45-3.83, 4 Er 3.55-3.59, 1 Pm 3.79
Tb4 0.2814 0.5627 0.3104  1 Nd 3.07, 1 Er 3.33, 2 Tb 3.41
Pm1 0.7991 0.5982 0.5120  2 Er 3.44-3.70, 8 Tb 3.50-3.79, 2 Nd 3.72
Tb5 0.4777 0.9554 0.7370  2 Nd 3.09-3.28, 1 Tb 3.45
Tb6 0.2985 0.5970 0.7083  3 Tb 3.41-3.59, 3 Pm 3.50-3.76, 3 Er 3.52-3.76, 1 Nd 3.61
Er3 0.8894 0.7788 0.2351  7 Tb 3.38-3.76, 1 Pm 3.44, 2 Nd 3.66
Tb7 0.3910 0.7819 0.0245  6 Tb 3.45-3.83, 4 Er 3.55-3.59, 1 Pm 3.79
Tb8 0.5223 0.0446 0.2370  2 Nd 3.09-3.28, 1 Tb 3.45
Tb9 0.0171 0.0342 0.0258  2 Nd 3.21, 2 Er 3.38-3.40, 2 Tb 3.60
Pm2 0.2009 0.4018 0.0120  2 Er 3.44-3.70, 8 Tb 3.50-3.79, 2 Nd 3.72
Tb10 0.9829 0.9658 0.5258  2 Nd 3.21, 2 Er 3.38-3.40, 2 Tb 3.60
Er4 0.8857 0.7713 0.8209  9 Tb 3.33-3.68, 1 Pm 3.70

Properties
ΔH_f (0 K), eV per atom: 0.16
Volume, Å³ per atom: 33.0
Total moment, μB/cell: 0.0
Calculated total energy, eV per atom: -4.49
SG: No. 36

---

2.
Entry from Alexandria: a geometry-optimized Tb2PmNd4Er structure (PBE).

abc: 3.6387 6.2791 11.9644
angles: 79.75 90.00 90.00
Last column: nearest neighbours and their distance in Å.
Element x y z (fractional)
Nd1 0.5000 0.7494 0.2519  2 Er 3.59, 3 Tb 3.60-3.63, 6 Nd 3.63-3.64, 1 Pm 3.64
Er1 0.0000 0.5000 0.5000  6 Nd 3.59-3.60, 4 Tb 3.63, 2 Er 3.64
Tb1 0.0000 0.0000 0.0000  4 Pm 3.63, 6 Nd 3.63-3.64, 2 Tb 3.64
Nd2 0.0000 0.7510 0.7479  3 Tb 3.59-3.64, 1 Er 3.60, 6 Nd 3.63-3.64, 2 Pm 3.63
Nd3 0.5000 0.2506 0.7481  2 Er 3.59, 3 Tb 3.60-3.63, 6 Nd 3.63-3.64, 1 Pm 3.64
Pm1 0.5000 0.5000 0.0000  4 Tb 3.63, 6 Nd 3.63-3.64, 2 Pm 3.64
Tb2 0.5000 0.0000 0.5000  6 Nd 3.59-3.60, 4 Er 3.63, 2 Tb 3.64
Nd4 0.0000 0.2490 0.2521  3 Tb 3.59-3.64, 1 Er 3.60, 6 Nd 3.63-3.64, 2 Pm 3.63

Properties
ΔH_f (0 K), eV per atom: 0.02
Volume, Å³ per atom: 33.6
Total moment, μB/cell: 0.0
Calculated total energy, eV per atom: -4.69
SG: No. 10

---

3.
Entry from Alexandria: a geometry-optimized TbPm2Nd4Er structure (PBE).

abc: 5.1644 5.1419 11.4601
angles: 63.24 90.00 90.00
Last column: nearest neighbours and their distance in Å.
Element x y z (fractional)
Pm1 0.5000 0.0000 0.5000  8 Nd 3.62-3.63, 4 Er 3.64
Nd1 0.5000 0.7496 0.2504  4 Pm 3.62-3.64, 2 Tb 3.63, 2 Er 3.63, 4 Nd 3.64
Nd2 0.0000 0.2483 0.2514  2 Er 3.61-3.62, 4 Pm 3.62-3.64, 4 Nd 3.64, 2 Tb 3.64
Nd3 0.0000 0.7517 0.7486  2 Er 3.61-3.62, 4 Pm 3.62-3.64, 4 Nd 3.64, 2 Tb 3.64
Tb1 0.5000 0.5000 0.0000  8 Nd 3.63-3.64, 4 Pm 3.64
Er1 0.0000 0.5000 0.5000  8 Nd 3.61-3.63, 4 Pm 3.64
Pm2 0.0000 0.0000 0.0000  8 Nd 3.63-3.64, 4 Tb 3.64
Nd4 0.5000 0.2504 0.7496  4 Pm 3.62-3.64, 2 Tb 3.63, 2 Er 3.63, 4 Nd 3.64

Properties
ΔH_f (0 K), eV per atom: 0.01
Volume, Å³ per atom: 34.0
Total moment, μB/cell: 0.0
Calculated total energy, eV per atom: -4.71
SG: No. 10

---

4.
Entry from Alexandria: a geometry-optimized Tb2Pm2NdEr2 structure (PBE).

abc: 3.4872 23.0467 14.9934
angles: 168.07 90.00 94.34
Last column: nearest neighbours and their distance in Å.
Element x y z (fractional)
Er1 0.4198 0.8396 0.0325  3 Tb 3.34-3.57, 4 Er 3.49-3.54, 3 Pm 3.50-3.57
Tb1 0.8434 0.6869 0.5999  3 Er 3.34-3.57, 2 Pm 3.36-3.42, 3 Tb 3.49-3.50, 2 Nd 3.65
Pm1 0.7958 0.5915 0.2344  2 Tb 3.36-3.42, 4 Pm 3.48-3.49, 3 Er 3.50-3.57
Nd1 0.0000 0.0000 0.5000  2 Nd 3.49, 4 Tb 3.65, 4 Er 3.88
Er2 0.5802 0.1604 0.9675  3 Tb 3.34-3.57, 4 Er 3.49-3.54, 3 Pm 3.50-3.57
Tb2 0.1566 0.3131 0.4001  3 Er 3.34-3.57, 2 Pm 3.36-3.42, 3 Tb 3.49-3.50, 2 Nd 3.65
Pm2 0.2042 0.4085 0.7656  2 Tb 3.36-3.42, 4 Pm 3.48-3.49, 3 Er 3.50-3.57

Properties
ΔH_f (0 K), eV per atom: 0.11
Volume, Å³ per atom: 33.1
Total moment, μB/cell: 0.0
Calculated total energy, eV per atom: -4.56
SG: No. 12

---

5.
Entry from Alexandria: a geometry-optimized Tb3Pm2NdEr6 structure (PBE).

abc: 6.1699 6.1699 11.7288
angles: 95.01 95.01 119.97
Last column: nearest neighbours and their distance in Å.
Element x y z (fractional)
Pm1 0.3333 0.6667 0.0000  3 Pm 3.56, 3 Nd 3.56, 6 Er 3.57
Er1 0.2489 0.2489 0.7474  3 Tb 3.52, 6 Er 3.56, 1 Nd 3.57, 2 Pm 3.57
Pm2 0.6667 0.3333 0.0000  3 Pm 3.56, 3 Nd 3.56, 6 Er 3.57
Nd1 0.0000 0.0000 0.0000  6 Pm 3.56, 6 Er 3.57
Er2 0.5819 0.9154 0.7474  3 Tb 3.52, 6 Er 3.56, 2 Pm 3.57, 1 Nd 3.57
Tb1 0.1667 0.8333 0.5000  6 Er 3.52, 6 Tb 3.56
Er3 0.0846 0.4181 0.2526  3 Tb 3.52, 6 Er 3.56, 2 Pm 3.57, 1 Nd 3.57
Er4 0.7511 0.7511 0.2526  3 Tb 3.52, 6 Er 3.56, 1 Nd 3.57, 2 Pm 3.57
Tb2 0.5000 0.5000 0.5000  6 Er 3.52, 6 Tb 3.56
Er5 0.9154 0.5819 0.7474  3 Tb 3.52, 6 Er 3.56, 2 Pm 3.57, 1 Nd 3.57
Er6 0.4181 0.0846 0.2526  3 Tb 3.52, 6 Er 3.56, 2 Pm 3.57, 1 Nd 3.57
Tb3 0.8333 0.1667 0.5000  6 Er 3.52, 6 Tb 3.56

Properties
ΔH_f (0 K), eV per atom: 0.02
Volume, Å³ per atom: 31.7
Total moment, μB/cell: 0.0
Calculated total energy, eV per atom: -4.61
SG: No. 12

---

6.
Entry from Alexandria: a geometry-optimized TbPm3Nd6Er2 structure (PBE).

abc: 6.3103 6.3103 11.9867
angles: 95.03 95.03 120.01
Last column: nearest neighbours and their distance in Å.
Element x y z (fractional)
Er1 0.3334 0.6666 0.0000  6 Nd 3.59, 3 Er 3.64, 3 Tb 3.64
Pm1 0.8333 0.1667 0.5000  6 Pm 3.64-3.65, 6 Nd 3.65-3.66
Nd1 0.0827 0.4165 0.2465  2 Er 3.59, 1 Tb 3.59, 6 Nd 3.64-3.65, 3 Pm 3.65-3.66
Nd2 0.5835 0.9173 0.7535  2 Er 3.59, 1 Tb 3.59, 6 Nd 3.64-3.65, 3 Pm 3.65-3.66
Pm2 0.1667 0.8333 0.5000  6 Pm 3.64-3.65, 6 Nd 3.65-3.66
Nd3 0.2510 0.2510 0.7536  1 Tb 3.59, 2 Er 3.59, 6 Nd 3.64-3.65, 3 Pm 3.66
Er2 0.6666 0.3334 0.0000  6 Nd 3.59, 3 Er 3.64, 3 Tb 3.64
Pm3 0.5000 0.5000 0.5000  6 Pm 3.64, 6 Nd 3.66
Nd4 0.7490 0.7490 0.2464  1 Tb 3.59, 2 Er 3.59, 6 Nd 3.64-3.65, 3 Pm 3.66
Tb1 0.0000 0.0000 0.0000  6 Nd 3.59, 6 Er 3.64
Nd5 0.4165 0.0827 0.2465  2 Er 3.59, 1 Tb 3.59, 6 Nd 3.64-3.65, 3 Pm 3.65-3.66
Nd6 0.9173 0.5835 0.7535  2 Er 3.59, 1 Tb 3.59, 6 Nd 3.64-3.65, 3 Pm 3.65-3.66

Properties
ΔH_f (0 K), eV per atom: 0.01
Volume, Å³ per atom: 33.9
Total moment, μB/cell: 0.0
Calculated total energy, eV per atom: -4.70
SG: No. 12

---

7.
Entry from Alexandria: a geometry-optimized TbPmNd2Er5 structure (PBE).

abc: 8.6808 8.6808 9.8754
angles: 116.07 116.07 90.00
Last column: nearest neighbours and their distance in Å.
Element x y z (fractional)
Er1 0.4277 0.3489 0.2766  1 Nd 3.01, 1 Tb 3.11
Nd1 0.3830 0.8830 0.0000  1 Nd 2.87, 2 Er 3.01
Er2 0.6511 0.1511 0.7234  1 Nd 3.01, 1 Tb 3.11
Er3 0.9277 0.4277 0.2766  1 Nd 3.01, 1 Tb 3.11
Er4 0.0723 0.5723 0.7234  1 Nd 3.01, 1 Tb 3.11
Pm1 0.2500 0.2500 0.5000  10 Er 3.56-3.87
Nd2 0.1170 0.3830 0.0000  1 Nd 2.87, 2 Er 3.01
Er5 0.5723 0.6511 0.7234  1 Nd 3.01, 1 Tb 3.11
Tb1 0.2500 0.7500 0.5000  4 Er 3.11
Nd3 0.8830 0.6170 0.0000  1 Nd 2.87, 2 Er 3.01
Pm2 0.7500 0.7500 0.5000  10 Er 3.56-3.87
Tb2 0.7500 0.2500 0.5000  4 Er 3.11
Er6 0.0000 0.0000 0.0000  4 Nd 3.48, 8 Er 3.77, 2 Pm 3.87
Nd4 0.6170 0.1170 0.0000  1 Nd 2.87, 2 Er 3.01
Er7 0.5000 0.5000 0.0000  4 Nd 3.48, 8 Er 3.77, 2 Pm 3.87
Er8 0.8489 0.9277 0.2766  1 Nd 3.01, 1 Tb 3.11
Er9 0.1511 0.0723 0.7234  1 Nd 3.01, 1 Tb 3.11
Er10 0.3489 0.8489 0.2766  1 Nd 3.01, 1 Tb 3.11

Properties
ΔH_f (0 K), eV per atom: 0.26
Volume, Å³ per atom: 32.4
Total moment, μB/cell: 0.0
Calculated total energy, eV per atom: -4.37
SG: No. 140

---

8.
Entry from Alexandria: a geometry-optimized Tb3PmNd6Er2 structure (PBE).

abc: 6.2836 6.2836 11.9138
angles: 95.03 95.03 119.99
Last column: nearest neighbours and their distance in Å.
Element x y z (fractional)
Nd1 0.5822 0.9163 0.7501  2 Er 3.60, 3 Tb 3.60-3.61, 1 Pm 3.61, 6 Nd 3.62-3.64
Tb1 0.1668 0.8332 0.5000  6 Nd 3.60-3.61, 6 Tb 3.63
Pm1 0.0000 0.0000 0.0000  6 Nd 3.60-3.61, 6 Er 3.63
Er1 0.6666 0.3334 0.0000  6 Nd 3.60, 3 Er 3.63, 3 Pm 3.63
Nd2 0.0837 0.4178 0.2499  2 Er 3.60, 3 Tb 3.60-3.61, 1 Pm 3.61, 6 Nd 3.62-3.64
Nd3 0.4178 0.0837 0.2499  2 Er 3.60, 3 Tb 3.60-3.61, 1 Pm 3.61, 6 Nd 3.62-3.64
Tb2 0.8332 0.1668 0.5000  6 Nd 3.60-3.61, 6 Tb 3.63
Nd4 0.7497 0.7497 0.2497  2 Er 3.60, 1 Pm 3.60, 3 Tb 3.61, 6 Nd 3.62-3.64
Tb3 0.5000 0.5000 0.5000  6 Nd 3.61, 6 Tb 3.63
Nd5 0.9163 0.5822 0.7501  2 Er 3.60, 3 Tb 3.60-3.61, 1 Pm 3.61, 6 Nd 3.62-3.64
Er2 0.3334 0.6666 0.0000  6 Nd 3.60, 3 Er 3.63, 3 Pm 3.63
Nd6 0.2503 0.2503 0.7503  2 Er 3.60, 1 Pm 3.60, 3 Tb 3.61, 6 Nd 3.62-3.64

Properties
ΔH_f (0 K), eV per atom: 0.01
Volume, Å³ per atom: 33.4
Total moment, μB/cell: 0.0
Calculated total energy, eV per atom: -4.69
SG: No. 12